[1]
{"formula": "LiTiSbTe2", "functional": "PBE", "state": "optimized geometry", "e_above_lowest_polymorph_ev_per_atom": 0.000, "e_form_raw_ev_per_atom": -0.183, "space_group": "P4/mmm (123)", "volume_a3_per_cell": 154.7, "crystal_system": "tetragonal", "cell": [[5.391, 0.000, 0.000], [0.000, 5.391, 0.000], [0.000, 0.000, 5.324]], "species": ["Li", "Ti", "Sb", "Te", "Te"], "frac_coords": [[0.000, 0.000, 0.000], [0.500, 0.500, 0.500], [0.500, 0.500, 0.000], [0.000, 0.500, 0.500], [0.500, 0.000, 0.500]]}

***

[2]
{"formula": "AgPtPb3", "functional": "PBE", "state": "optimized geometry", "e_above_lowest_polymorph_ev_per_atom": 0.294, "space_group": "Pm-3m (221)", "e_form_ev_per_fu": 1.46, "volume_a3_per_cell": 157.4, "crystal_system": "cubic", "cell": [[5.400, 0.000, 0.000], [0.000, 5.400, 0.000], [0.000, 0.000, 5.400]], "species": ["Ag", "Pt", "Pb", "Pb", "Pb"], "frac_coords": [[0.000, 0.000, 0.000], [0.500, 0.500, 0.500], [0.000, 0.500, 0.500], [0.500, 0.000, 0.500], [0.500, 0.500, 0.000]]}

***

[3]
{"formula": "TaAlSbI2", "functional": "PBE", "state": "optimized geometry", "e_above_lowest_polymorph_ev_per_atom": 0.585, "e_form_raw_ev_per_atom": 1.105, "space_group": "P4/mmm (123)", "volume_a3_per_cell": 152.6, "crystal_system": "tetragonal", "cell": [[5.307, 0.000, 0.000], [0.000, 5.307, 0.000], [0.000, 0.000, 5.418]], "species": ["Ta", "Al", "Sb", "I", "I"], "frac_coords": [[0.000, 0.000, 0.000], [0.500, 0.500, 0.500], [0.500, 0.500, 0.000], [0.000, 0.500, 0.500], [0.500, 0.000, 0.500]]}

***

[4]
{"formula": "Rb2LiAs2", "functional": "PBE", "state": "optimized geometry", "e_above_lowest_polymorph_ev_per_atom": 0.000, "space_group": "C2/c (15)", "e_form_ev_per_fu": -1.69, "volume_a3_per_cell": 321.0, "crystal_system": "monoclinic", "cell": [[5.260, -3.552, 0.000], [5.260, 3.552, 0.000], [-1.128, 0.000, 8.591]], "species": ["Rb", "Rb", "Rb", "Rb", "Li", "Li", "As", "As", "As", "As"], "frac_coords": [[0.007, 0.289, 0.139], [0.289, 0.007, 0.639], [0.711, 0.993, 0.361], [0.993, 0.711, 0.861], [0.449, 0.551, 0.250], [0.551, 0.449, 0.750], [0.187, 0.516, 0.490], [0.484, 0.813, 0.010], [0.516, 0.187, 0.990], [0.813, 0.484, 0.510]]}

***

[5]
{"formula": "Er3Tm5As8", "functional": "PBE", "state": "optimized geometry", "space_group": "R-3m (166)", "e_form_ev_per_fu": -24.17, "volume_a3_per_cell": 381.3, "crystal_system": "trigonal", "cell": [[4.070, 2.350, 6.645], [-4.070, 2.350, 6.645], [0.000, -4.700, 6.645]], "species": ["Er", "Er", "Er", "Tm", "Tm", "Tm", "Tm", "Tm", "As", "As", "As", "As", "As", "As", "As", "As"], "frac_coords": [[0.000, 0.500, 0.500], [0.500, 0.000, 0.500], [0.500, 0.500, 0.000], [0.000, 0.000, 0.000], [0.000, 0.000, 0.500], [0.000, 0.500, 0.000], [0.500, 0.000, 0.000], [0.500, 0.500, 0.500], [0.249, 0.750, 0.750], [0.250, 0.250, 0.250], [0.250, 0.250, 0.751], [0.250, 0.751, 0.250], [0.750, 0.249, 0.750], [0.750, 0.750, 0.249], [0.750, 0.750, 0.750], [0.751, 0.250, 0.250]]}

***

[6]
{"formula": "AlTlO2", "functional": "PBE", "state": "optimized geometry", "e_above_lowest_polymorph_ev_per_atom": 0.483, "e_form_raw_ev_per_atom": -1.646, "space_group": "Cmcm (63)", "volume_a3_per_cell": 282.0, "crystal_system": "orthorhombic", "cell": [[2.972, 0.000, 0.000], [0.000, 19.117, 0.000], [0.000, 0.000, 4.963]], "species": ["Al", "Al", "Al", "Al", "Tl", "Tl", "Tl", "Tl", "O", "O", "O", "O", "O", "O", "O", "O"], "frac_coords": [[0.000, 0.199, 0.250], [0.000, 0.801, 0.750], [0.500, 0.301, 0.750], [0.500, 0.699, 0.250], [0.000, 0.407, 0.250], [0.000, 0.593, 0.750], [0.500, 0.093, 0.750], [0.500, 0.907, 0.250], [0.000, 0.288, 0.250], [0.000, 0.352, 0.750], [0.000, 0.648, 0.250], [0.000, 0.712, 0.750], [0.500, 0.148, 0.250], [0.500, 0.212, 0.750], [0.500, 0.788, 0.250], [0.500, 0.852, 0.750]]}

***

Question: Number 2 is which compound?
Answer: AgPtPb3